Ti3NiH3: relaxed, GGA-PBE.

abc: 5.187 5.187 5.187
angles: 90.00 90.00 90.00
Fractional positions:
Ti1 0.000 0.250 0.500
Ti2 0.000 0.750 0.500
Ti3 0.250 0.500 0.000
Ti4 0.500 0.000 0.250
Ti5 0.500 0.000 0.750
Ti6 0.750 0.500 0.000
Ni1 0.000 0.000 0.000
Ni2 0.500 0.500 0.500
H1 0.000 0.500 0.250
H2 0.000 0.500 0.750
H3 0.250 0.000 0.500
H4 0.500 0.250 0.000
H5 0.500 0.750 0.000
H6 0.750 0.000 0.500

Values from the calculation:
Its raw total energy is -5.9736 eV per atom. The magnetic moment is 0.0 Bohr magnetons per cell.